Record 1
## Ba3CaPm2Te6 (GGA-PBE)

Data for an optimized crystal structure of Ba3CaPm2Te6.

```
12
Lattice="-5.615 -4.900 -3.205 2.985 -1.539 7.385 -4.775 6.529 1.805" Properties=species:S:1:pos:R:3 pbc="T T T"
Ba -0.836 1.166 6.522
Ba -6.569 -1.075 -0.538
Ba -3.702 0.045 2.992
Ca 0.000 0.000 0.000
Pm 0.115 -2.661 3.850
Pm -2.744 -3.778 0.329
Te -7.150 -0.368 2.813
Te -3.004 -3.322 3.494
Te -0.255 0.458 3.172
Te -4.280 0.754 6.347
Te -4.400 3.413 2.490
Te -3.124 -0.664 -0.362
```

## Properties
* total magnetic moment: 0.00 μB/cell
* V: 446.6 Å³ per cell
* E_form (uncorrected): -1.612 eV/atom


Record 2
## MnZnCu4 (GGA-PBE)

Data for an optimized crystal structure of MnZnCu4.

```
12
Lattice="4.268 0.002 0.000 -0.004 8.392 0.000 0.000 0.000 4.268" Properties=species:S:1:pos:R:3 pbc="T T T"
Mn 2.132 4.197 0.000
Mn -0.002 4.196 2.134
Zn 0.000 0.000 0.000
Zn 2.134 0.001 2.134
Cu -0.003 6.969 2.135
Cu 2.133 1.424 0.001
Cu 2.131 5.607 2.133
Cu -0.001 2.786 4.267
Cu -0.001 1.423 2.133
Cu 2.131 6.970 4.267
Cu 2.133 2.787 2.135
Cu -0.003 5.606 0.001
```

## Properties
* DFT formation energy: 0.20 eV per formula unit
* total magnetic moment: 7.71 μB/cell
* V: 152.9 Å³ per cell


Record 3
## Y3HfAl8 (GGA-PBE)

Data for an optimized crystal structure of Y3HfAl8.

```
12
Lattice="-4.846 1.710 -1.927 -0.953 0.017 -5.405 -5.109 -7.820 -1.910" Properties=species:S:1:pos:R:3 pbc="T T T"
Y -6.644 -6.194 -4.420
Y -5.809 1.700 -7.330
Y -5.447 -3.029 -4.622
Hf -6.990 -1.422 -7.131
Al -5.933 0.099 -4.527
Al -6.516 -4.563 -7.225
Al -3.513 -0.755 -3.565
Al -8.926 -3.712 -8.183
Al -3.320 -3.090 -2.211
Al -8.778 -6.148 -6.831
Al -3.989 -0.747 -6.263
Al -8.452 -3.720 -5.495
```

## Properties
* DFT formation energy: -5.88 eV per formula unit
* total magnetic moment: 0.00 μB/cell
* V: 234.6 Å³ per cell
* energy above the lowest structure with this stoichiometry: 0 meV per atom


Record 4
## YAg2Pt2 (GGA-PBE)

Data for an optimized crystal structure of YAg2Pt2.

```
10
Lattice="-3.153 1.548 -6.822 2.464 -6.758 -2.672 -2.753 -1.383 0.958" Properties=species:S:1:pos:R:3 pbc="T T T"
Y 0.000 0.000 0.000
Y -0.344 -2.605 -4.747
Ag 0.974 -5.333 -4.897
Ag -1.218 -2.869 -7.640
Ag -1.662 0.123 -4.598
Ag 0.530 -2.341 -1.855
Pt -0.263 -4.974 -2.504
Pt -1.463 -5.234 -6.324
Pt -3.177 -1.619 -6.032
Pt -1.978 -1.358 -2.212
```

## Properties
* DFT formation energy: -1.55 eV per formula unit
* total magnetic moment: 0.00 μB/cell
* V: 190.0 Å³ per cell
* energy above the lowest structure with this stoichiometry: 192 meV per atom


Fermi-level density of states? In order: 3.25 4.31 6.59 3.70 states/eV per cell.